AlRu2Cl: relaxed, PBE-GGA.

The calculation puts the energy relative to the lowest polymorph listed for this composition at 0.471 eV per formula unit. The uncorrected formation energy is 0.012 eV per atom.

The structure belongs to space group R3m (No. 160, hexagonal axes); the cell edges are 2.9119, 2.9119 and 28.5887 Å and the angles 90.00°, 90.00° and 120.00°. The inequivalent atoms are Al at (0.0000, 0.0000, 0.0000), Ru at (0.0000, 0.0000, 0.4705), Ru at (0.0000, 0.0000, 0.7344) and Cl at (0.0000, 0.0000, 0.2734).


CaBTeN2: relaxed, PBE-GGA.

The calculation puts the energy relative to the lowest polymorph listed for this composition at 0.000 eV per formula unit. The uncorrected formation energy is 1.237 eV per atom.

The structure belongs to space group P4/mmm (No. 123); the cell edges are 3.986, 3.986 and 4.846 Å and the angles 90.00°, 90.00° and 90.00°. The inequivalent atoms are Ca at (0.000, 0.000, 0.000), B at (0.500, 0.500, 0.500), Te at (0.500, 0.500, 0.000) and N at (0.000, 0.500, 0.500).


Ga2Sb2Pb: relaxed, PBE-GGA.

The calculation puts the energy relative to the lowest polymorph listed for this composition at 0.197 eV per formula unit. The uncorrected formation energy is 0.089 eV per atom.

The structure belongs to space group P4/mbm (No. 127); the cell edges are 8.106, 8.106 and 3.820 Å and the angles 90.00°, 90.00° and 90.00°. The inequivalent atoms are Ga at (0.127, 0.373, 0.000), Sb at (0.166, 0.666, 0.500) and Pb at (0.000, 0.000, 0.000).


AlIn2Os: relaxed, PBE-GGA.

Its calculated formation energy is 198 meV per atom.

The structure belongs to space group Imm2 (No. 44); the cell edges are 2.945, 4.612 and 12.398 Å and the angles 90.00°, 90.00° and 90.00°. The inequivalent atoms are Al at (0.000, 0.000, 0.000), In at (0.000, 0.000, 0.370), In at (0.000, 0.500, 0.176) and Os at (0.000, 0.500, 0.667).


SrSc2B: relaxed, PBE-GGA.

Its calculated formation energy is 383 meV per atom.

The structure belongs to space group I-42d (No. 122); the cell edges are 7.156, 7.156 and 10.138 Å and the angles 90.00°, 90.00° and 90.00°. The inequivalent atoms are Sr at (0.000, 0.000, 0.000), Sc at (0.002, 0.250, 0.625) and B at (0.000, 0.000, 0.500).


CuPdAu: relaxed, PBE-GGA.

The calculation puts the energy relative to the lowest polymorph listed for this composition at 0.105 eV per formula unit. Its calculated formation energy is -62 meV per atom.

The structure belongs to space group P2_1/m (No. 11); the cell edges are 2.782, 4.159 and 8.053 Å and the angles 90.00°, 99.77° and 90.00°. The inequivalent atoms are Cu at (0.033, 0.250, 0.081), Pd at (0.398, 0.250, 0.787) and Au at (0.205, 0.250, 0.408).


Number 1: N(E_F) 9.35 states/eV per cell. Number 2: N(E_F) 3.20 states/eV per cell. Number 3: N(E_F) 5.31 states/eV per cell. Number 4: N(E_F) 4.95 states/eV per cell. Number 5: N(E_F) 17.90 states/eV per cell. Number 6: N(E_F) 2.39 states/eV per cell.